1.
This record from the Alexandria database describes a relaxed LiGa2Br crystal. The functional is PBE-GGA.

Cell lengths 4.2002, 4.2029, 13.1524 Å; angles 89.80, 89.84, 60.03 degrees
Space group P1 (No. 1)
Inequivalent atoms, fractional coordinates:
Li 0.0000 0.0000 0.0000 x1
Li 0.3345 0.3267 0.2496 x1
Ga 0.0000 0.9925 0.5169 x1
Ga 0.3329 0.3250 0.6168 x1
Ga 0.6659 0.6575 0.6958 x1
Ga 0.9983 0.9900 0.7803 x1
Br 0.3332 0.3327 0.0483 x1
Br 0.6675 0.6597 0.3057 x1

## Properties
Calculated volume (Å³ per cell): 201.1
E_form (uncorrected) (eV per atom): -0.6365
ρ (g/cm3): 3.74
Energy relative to the lowest polymorph listed for this composition (kJ/mol of atoms): 1.25

2.
This record from the Alexandria database describes a relaxed LiGa2Br crystal. The functional is PBE-GGA.

Cell lengths 4.2556, 4.2562, 13.4995 Å; angles 81.12, 81.23, 60.01 degrees
Space group P1 (No. 1)
Inequivalent atoms, fractional coordinates:
Li 0.0000 0.0000 0.0000 x1
Li 0.2836 0.2785 0.1623 x1
Ga 0.0698 0.1190 0.7094 x1
Ga 0.1517 0.2032 0.4522 x1
Ga 0.4566 0.5073 0.5417 x1
Ga 0.7652 0.8153 0.6191 x1
Br 0.3451 0.3454 0.9637 x1
Br 0.9384 0.9334 0.1984 x1

## Properties
Calculated volume (Å³ per cell): 208.4
E_form (uncorrected) (eV per atom): -0.6484
ρ (g/cm3): 3.61
Energy relative to the lowest polymorph listed for this composition (kJ/mol of atoms): 0.10

3.
This record from the Alexandria database describes a relaxed LiMgGa2Br5 crystal. The functional is PBE-GGA.

Cell lengths 4.0324, 18.1229, 14.1474 Å; angles 90.00, 90.00, 90.00 degrees
Space group Cmc2_1 (No. 36)
Inequivalent atoms, fractional coordinates:
Li 0.0000 0.0628 0.0000 x4
Mg 0.0000 0.2848 0.5877 x4
Ga 0.0000 0.3790 0.8659 x4
Ga 0.0000 0.4036 0.2092 x4
Br 0.0000 0.0027 0.3440 x4
Br 0.0000 0.1371 0.5606 x4
Br 0.0000 0.2008 0.9597 x4
Br 0.0000 0.2277 0.2177 x4
Br 0.0000 0.4352 0.6072 x4

## Properties
Calculated volume (Å³ per cell): 1033.9
E_form (uncorrected) (eV per atom): -1.0525
ρ (g/cm3): 3.66

4.
This record from the Alexandria database describes a relaxed LiGaMo2Br crystal. The functional is PBE-GGA.

Cell lengths 4.5421, 4.5421, 4.0794 Å; angles 90.00, 90.00, 90.00 degrees
Space group P4/mmm (No. 123)
Inequivalent atoms, fractional coordinates:
Li 0.0000 0.0000 0.0000 x1
Ga 0.0000 0.0000 0.5000 x1
Mo 0.0000 0.5000 0.0000 x2
Br 0.5000 0.5000 0.5000 x1

## Properties
Calculated volume (Å³ per cell): 84.2
E_form (uncorrected) (eV per atom): 1.3610
ρ (g/cm3): 6.88

5.
This record from the Alexandria database describes a relaxed NaLiGa2Br4 crystal. The functional is PBE-GGA.

Cell lengths 7.3669, 4.2489, 7.5554 Å; angles 90.00, 108.81, 90.00 degrees
Space group P2/m (No. 10)
Inequivalent atoms, fractional coordinates:
Na 0.0000 0.0000 0.0000 x1
Li 0.5000 0.5000 0.0000 x1
Ga 0.0000 0.5000 0.5000 x1
Ga 0.5000 0.0000 0.5000 x1
Br 0.2529 0.5000 0.2253 x2
Br 0.2686 0.0000 0.7787 x2

## Properties
Calculated volume (Å³ per cell): 223.9
E_form (uncorrected) (eV per atom): -1.0111
ρ (g/cm3): 3.63

6.
This record from the Alexandria database describes a relaxed Na2LiGaBr5 crystal. The functional is PBE-GGA.

Cell lengths 4.5489, 20.0422, 12.6962 Å; angles 90.00, 90.00, 90.00 degrees
Space group Cmc2_1 (No. 36)
Inequivalent atoms, fractional coordinates:
Na 0.0000 0.1352 0.0000 x4
Na 0.0000 0.1638 0.3255 x4
Li 0.0000 0.2035 0.7209 x4
Ga 0.0000 0.4399 0.0952 x4
Br 0.0000 0.0607 0.6841 x4
Br 0.0000 0.3067 0.3260 x4
Br 0.0000 0.3259 0.6631 x4
Br 0.0000 0.3337 0.9837 x4
Br 0.0000 0.4719 0.4572 x4

## Properties
Calculated volume (Å³ per cell): 1157.5
E_form (uncorrected) (eV per atom): -1.1710
ρ (g/cm3): 3.00

7.
This record from the Alexandria database describes a relaxed Na2LiGaBr4 crystal. The functional is PBE-GGA.

Cell lengths 12.0355, 12.0299, 8.4943 Å; angles 90.00, 134.86, 90.00 degrees
Space group C2/c (No. 15)
Inequivalent atoms, fractional coordinates:
Na 0.0000 0.0000 0.0000 x4
Na 0.2500 0.2500 0.0000 x4
Li 0.2500 0.2500 0.5000 x4
Ga 0.0000 0.5000 0.0000 x4
Br 0.0011 0.2450 0.4899 x8
Br 0.2391 0.0108 0.4890 x8

## Properties
Calculated volume (Å³ per cell): 871.8
E_form (uncorrected) (eV per atom): -1.2638
ρ (g/cm3): 3.37

8.
This record from the Alexandria database describes a relaxed LiGaNi2Br crystal. The functional is PBE-GGA.

Cell lengths 4.4986, 4.4986, 4.5214 Å; angles 90.00, 90.00, 90.00 degrees
Space group P4/mmm (No. 123)
Inequivalent atoms, fractional coordinates:
Li 0.0000 0.0000 0.0000 x1
Ga 0.5000 0.5000 0.0000 x1
Ni 0.0000 0.5000 0.5000 x2
Br 0.0000 0.0000 0.5000 x1

## Properties
Calculated volume (Å³ per cell): 91.5
E_form (uncorrected) (eV per atom): 0.3875
ρ (g/cm3): 4.97

9.
This record from the Alexandria database describes a relaxed Li2GaBrO crystal. The functional is PBE-GGA.

Cell lengths 4.5940, 4.5940, 5.6547 Å; angles 90.00, 90.00, 90.00 degrees
Space group P4/mmm (No. 123)
Inequivalent atoms, fractional coordinates:
Li 0.0000 0.5000 0.0000 x2
Ga 0.0000 0.0000 0.5000 x1
Br 0.0000 0.0000 0.0000 x1
O 0.5000 0.5000 0.5000 x1

## Properties
Calculated volume (Å³ per cell): 119.3
E_form (uncorrected) (eV per atom): -0.1405
ρ (g/cm3): 2.50

10.
This record from the Alexandria database describes a relaxed Li4Ga3Si3BrO12 crystal. The functional is PBE-GGA.

Cell lengths 8.6662, 8.6662, 8.6662 Å; angles 90.00, 90.00, 90.00 degrees
Space group P-43n (No. 218)
Inequivalent atoms, fractional coordinates:
Li 0.1781 0.1781 0.1781 x8
Ga 0.0000 0.2500 0.5000 x6
Si 0.0000 0.5000 0.2500 x6
Br 0.0000 0.0000 0.0000 x2
O 0.0956 0.3719 0.6470 x24

## Properties
Calculated volume (Å³ per cell): 650.8
E_form (uncorrected) (eV per atom): -2.3245
ρ (g/cm3): 3.03

11.
This record from the Alexandria database describes a relaxed LiGa2PbBr5 crystal. The functional is PBE-GGA.

Cell lengths 4.3328, 18.9715, 13.9363 Å; angles 90.00, 90.00, 90.00 degrees
Space group Cmc2_1 (No. 36)
Inequivalent atoms, fractional coordinates:
Li 0.0000 0.0560 0.0000 x4
Ga 0.0000 0.3751 0.9034 x4
Ga 0.0000 0.4251 0.2317 x4
Pb 0.0000 0.2898 0.6146 x4
Br 0.0000 0.0072 0.3423 x4
Br 0.0000 0.1342 0.5745 x4
Br 0.0000 0.1900 0.9636 x4
Br 0.0000 0.2114 0.2689 x4
Br 0.0000 0.4559 0.5975 x4

## Properties
Calculated volume (Å³ per cell): 1145.6
E_form (uncorrected) (eV per atom): -0.8707
ρ (g/cm3): 4.37

12.
This record from the Alexandria database describes a relaxed Li2PmGaBr6 crystal. The functional is PBE-GGA.

Cell lengths 7.2508, 7.2508, 19.7959 Å; angles 90.00, 90.00, 120.00 degrees
Space group R3 (No. 146, hexagonal axes)
Inequivalent atoms, fractional coordinates:
Li 0.0000 0.0000 0.0000 x3
Li 0.0000 0.0000 0.4969 x3
Pm 0.0000 0.0000 0.6902 x3
Ga 0.0000 0.0000 0.2000 x3
Br 0.0040 0.3552 0.7573 x9
Br 0.0088 0.6127 0.2603 x9

## Properties
Calculated volume (Å³ per cell): 901.3
E_form (uncorrected) (eV per atom): -1.4470
ρ (g/cm3): 3.91